This record from Alexandria describes crystalline ZrFe2Os at its relaxed geometry. The functional is PBE.

Spin magnetization, μB per cell: 4.19
Mass density, g/cm³: 11.246
Space-group type: P4/mmm, No. 123
Formation energy, eV/f.u.: -0.1
Energy, eV per atom: -9.1940

abc: 4.286 4.286 3.160
angles: 90.00 90.00 90.00
Fractional coordinates of all 4 atoms:
1 Fe 0.000 0.000 0.000
2 Fe 0.500 0.500 0.000
3 Os 0.500 0.000 0.500
4 Zr 0.000 0.500 0.500

***

This record from Alexandria describes crystalline Zr6FeOs at its relaxed geometry. The functional is PBE.

Spin magnetization, μB per cell: 0.89
Mass density, g/cm³: 8.196
Space-group type: I4/mmm, No. 139
Formation energy, eV/f.u.: -1.2
Energy, eV per atom: -9.0281

abc: 4.639 4.639 8.157
angles: 73.48 73.48 90.00
Fractional coordinates of all 8 atoms:
1 Zr 0.751 0.751 0.497
2 Zr 0.607 0.107 0.786
3 Zr 0.107 0.607 0.786
4 Zr 0.393 0.893 0.214
5 Zr 0.249 0.249 0.503
6 Zr 0.893 0.393 0.214
7 Fe 0.000 0.000 0.000
8 Os 0.500 0.500 0.000